Below is a geometry-optimized Th2BiNO structure, with properties calculated at the GGA-PBE level.

Unit cell a=4.0996 b=4.0996 c=13.0456 alpha=90.00 beta=90.00 gamma=90.00
Space group I-4m2 (No. 119)
Inequivalent atoms, fractional coordinates:
Th  0.0000  0.0000  0.1574 (multiplicity 4)
Bi  0.0000  0.0000  0.5000 (multiplicity 2)
N  0.0000  0.5000  0.7500 (multiplicity 2)
O  0.0000  0.5000  0.2500 (multiplicity 2)

Results
DFT total energy	-8.518	eV per atom
DOS at the Fermi energy	0.144	states/eV/f.u.
raw formation energy	-2117.0	meV per atom
total magnetic moment	0.000	Bohr magnetons per cell

Below is a geometry-optimized Zn2PW structure, with properties calculated at the GGA-PBE level.

Unit cell a=2.7042 b=4.4697 c=4.9775 alpha=90.00 beta=95.81 gamma=90.00
Space group Pm (No. 6)
Inequivalent atoms, fractional coordinates:
Zn  0.0000  0.0000  0.0000 (multiplicity 1)
Zn  0.1260  0.5000  0.7451 (multiplicity 1)
P  0.7349  0.0000  0.4743 (multiplicity 1)
W  0.5893  0.5000  0.2531 (multiplicity 1)

Results
ΔE_f	0.177	eV per atom
DFT total energy	-5.051	eV per atom
DOS at the Fermi energy	1.387	states/eV/f.u.
total magnetic moment	0.000	Bohr magnetons per cell

Below is a geometry-optimized ZnReTe2Pt structure, with properties calculated at the GGA-PBE level.

Unit cell a=5.2008 b=5.2008 c=4.9626 alpha=90.00 beta=90.00 gamma=90.00
Space group P4/mmm (No. 123)
Inequivalent atoms, fractional coordinates:
Zn  0.0000  0.0000  0.0000 (multiplicity 1)
Re  0.5000  0.5000  0.5000 (multiplicity 1)
Te  0.0000  0.5000  0.5000 (multiplicity 2)
Pt  0.5000  0.5000  0.0000 (multiplicity 1)

Results
DFT total energy	-4.392	eV per atom
DOS at the Fermi energy	4.614	states/eV/f.u.
raw formation energy	817.5	meV per atom
total magnetic moment	0.000	Bohr magnetons per cell

Below is a geometry-optimized Sc3Cu2Au4 structure, with properties calculated at the GGA-PBE level.

Unit cell a=13.2335 b=10.1222 c=4.9482 alpha=90.00 beta=101.01 gamma=90.00
Space group C2/c (No. 15)
Inequivalent atoms, fractional coordinates:
Sc  0.0000  0.1203  0.2500 (multiplicity 4)
Sc  0.1685  0.3722  0.0932 (multiplicity 8)
Cu  0.1020  0.1264  0.8027 (multiplicity 8)
Au  0.0581  0.3665  0.5322 (multiplicity 8)
Au  0.2146  0.1132  0.3394 (multiplicity 8)

Results
ΔE_f	-0.526	eV per atom
DFT total energy	-5.003	eV per atom
DOS at the Fermi energy	5.989	states/eV/f.u.
total magnetic moment	0.000	Bohr magnetons per cell

Below is a geometry-optimized BaGa2GeAu structure, with properties calculated at the GGA-PBE level.

Unit cell a=4.6720 b=4.6720 c=10.7907 alpha=90.00 beta=90.00 gamma=90.00
Space group I-4m2 (No. 119)
Inequivalent atoms, fractional coordinates:
Ba  0.0000  0.0000  0.0000 (multiplicity 2)
Ga  0.0000  0.0000  0.3762 (multiplicity 4)
Ge  0.0000  0.5000  0.7500 (multiplicity 2)
Au  0.0000  0.5000  0.2500 (multiplicity 2)

Results
ΔE_f	-0.473	eV per atom
DFT total energy	-3.647	eV per atom
DOS at the Fermi energy	1.762	states/eV/f.u.
total magnetic moment	0.000	Bohr magnetons per cell

Below is a geometry-optimized Ac3Nd3TmTe8 structure, with properties calculated at the GGA-PBE level.

Unit cell a=9.1016 b=9.1016 c=22.8567 alpha=90.00 beta=90.00 gamma=120.00
Space group R-3m (No. 166, hexagonal axes)
Inequivalent atoms, fractional coordinates:
Ac  0.0000  0.5000  0.0000 (multiplicity 9)
Nd  0.0000  0.5000  0.5000 (multiplicity 9)
Tm  0.0000  0.0000  0.5000 (multiplicity 3)
Te  0.0000  0.0000  0.2453 (multiplicity 6)
Te  0.0056  0.5028  0.2440 (multiplicity 18)

Results
DFT total energy	-5.209	eV per atom
DOS at the Fermi energy	7.501	states/eV/f.u.
raw formation energy	-1460.3	meV per atom
total magnetic moment	0.000	Bohr magnetons per cell

Below is a geometry-optimized NdYCo3 structure, with properties calculated at the GGA-PBE level.

Unit cell a=4.1954 b=23.3601 c=3.9202 alpha=90.00 beta=90.00 gamma=90.00
Space group Cmcm (No. 63)
Inequivalent atoms, fractional coordinates:
Nd  0.0000  0.0711  0.2500 (multiplicity 4)
Y  0.0000  0.2055  0.7500 (multiplicity 4)
Co  0.0000  0.3314  0.7500 (multiplicity 4)
Co  0.0000  0.3780  0.2500 (multiplicity 4)
Co  0.0000  0.4758  0.2500 (multiplicity 4)

Results
ΔE_f	-0.132	eV per atom
DFT total energy	-6.641	eV per atom
DOS at the Fermi energy	4.044	states/eV/f.u.
total magnetic moment	7.626	Bohr magnetons per cell

Below is a geometry-optimized CaReOs2W structure, with properties calculated at the GGA-PBE level.

Unit cell a=4.5198 b=4.5198 c=4.5106 alpha=90.00 beta=90.00 gamma=90.00
Space group P4/mmm (No. 123)
Inequivalent atoms, fractional coordinates:
Ca  0.0000  0.0000  0.0000 (multiplicity 1)
Re  0.0000  0.0000  0.5000 (multiplicity 1)
Os  0.0000  0.5000  0.0000 (multiplicity 2)
W  0.5000  0.5000  0.5000 (multiplicity 1)

Results
ΔE_f	3.226	eV per atom
DFT total energy	-6.747	eV per atom
DOS at the Fermi energy	6.494	states/eV/f.u.
total magnetic moment	0.000	Bohr magnetons per cell

Below is a geometry-optimized CaPmHoCd structure, with properties calculated at the GGA-PBE level.

Unit cell a=3.6313 b=3.6313 c=9.4693 alpha=90.00 beta=90.00 gamma=90.00
Space group P4mm (No. 99)
Inequivalent atoms, fractional coordinates:
Ca  0.0000  0.0000  0.0000 (multiplicity 1)
Pm  0.5000  0.5000  0.3100 (multiplicity 1)
Ho  0.0000  0.0000  0.5684 (multiplicity 1)
Cd  0.5000  0.5000  0.7752 (multiplicity 1)

Results
energy relative to the lowest polymorph listed for this composition	0.000	eV/atom
ΔE_f	-0.139	eV per atom
DFT total energy	-3.201	eV per atom
DOS at the Fermi energy	5.510	states/eV/f.u.
total magnetic moment	0.000	Bohr magnetons per cell

Below is a geometry-optimized SrOs2 structure, with properties calculated at the GGA-PBE level.

Unit cell a=2.8886 b=2.8886 c=7.6325 alpha=90.00 beta=90.00 gamma=120.00
Space group P-3m1 (No. 164)
Inequivalent atoms, fractional coordinates:
Sr  0.0000  0.0000  0.0000 (multiplicity 1)
Os  0.3333  0.6667  0.3676 (multiplicity 2)

Results
ΔE_f	1.078	eV per atom
DFT total energy	-6.969	eV per atom
DOS at the Fermi energy	3.810	states/eV/f.u.
total magnetic moment	0.000	Bohr magnetons per cell

Below is a geometry-optimized SrLiIn2Rh structure, with properties calculated at the GGA-PBE level.

Unit cell a=5.1515 b=5.1515 c=4.9634 alpha=90.00 beta=90.00 gamma=90.00
Space group P4/mmm (No. 123)
Inequivalent atoms, fractional coordinates:
Sr  0.0000  0.0000  0.0000 (multiplicity 1)
Li  0.5000  0.5000  0.0000 (multiplicity 1)
In  0.0000  0.5000  0.5000 (multiplicity 2)
Rh  0.5000  0.5000  0.5000 (multiplicity 1)

Results
ΔE_f	-0.308	eV per atom
DFT total energy	-3.593	eV per atom
DOS at the Fermi energy	1.802	states/eV/f.u.
total magnetic moment	0.000	Bohr magnetons per cell

Below is a geometry-optimized BaPtF2 structure, with properties calculated at the GGA-PBE level.

Unit cell a=4.4395 b=4.4395 c=12.7244 alpha=90.00 beta=90.00 gamma=120.00
Space group R-3m (No. 166, hexagonal axes)
Inequivalent atoms, fractional coordinates:
Ba  0.0000  0.0000  0.0000 (multiplicity 3)
Pt  0.0000  0.0000  0.5000 (multiplicity 3)
F  0.0000  0.0000  0.2276 (multiplicity 6)

Results
energy relative to the lowest polymorph listed for this composition	0.446	eV/atom
DFT total energy	-4.584	eV per atom
DOS at the Fermi energy	3.837	states/eV/f.u.
raw formation energy	-1657.5	meV per atom
total magnetic moment	0.447	Bohr magnetons per cell